[1]
# ZrRuCl2

A relaxed structure of ZrRuCl2 (GGA-PBEsol, the Alexandria database).

- E above lowest polymorph (eV/f.u.) = 1.17
- raw formation energy (eV per atom) = -0.3063
- symmetry = No. 69
- volume (A^3/atom) = 17.31

Cell: 4.063 4.068 5.059 Å, 113.02 112.98 91.58°
Element x y z (fractional)
Ru  0.500  0.000  0.000
Zr  0.000  0.500  0.000
Cl  0.000  0.000  0.500
Cl  0.500  0.500  0.500

---

[2]
# ZrRuCl2

A relaxed structure of ZrRuCl2 (GGA-PBEsol, the Alexandria database).

- E above lowest polymorph (eV/f.u.) = 0.00
- raw formation energy (eV per atom) = -0.5980
- symmetry = No. 6
- volume (A^3/atom) = 21.11

Cell: 3.565 3.760 6.412 Å, 90.00 100.80 90.00°
Element x y z (fractional)
Ru  0.640  0.000  0.586
Zr  0.202  0.500  0.658
Cl  0.015  0.000  0.931
Cl  0.643  0.500  0.325

---

[3]
# ZrRuCl2

A relaxed structure of ZrRuCl2 (GGA-PBEsol, the Alexandria database).

- E above lowest polymorph (eV/f.u.) = 0.79
- raw formation energy (eV per atom) = -0.4012
- symmetry = No. 166
- volume (A^3/atom) = 16.97

Cell: 3.087 3.087 8.414 Å, 79.43 79.43 60.00°
Element x y z (fractional)
Ru  0.000  0.000  0.000
Zr  0.500  0.500  0.500
Cl  0.908  0.908  0.275
Cl  0.092  0.092  0.725